[1]
The following is a DFT calculation (PBE) of an optimized crystal structure of Ac3Sm4Pd4.

Structure (CIF):
```
data_Ac3Sm4Pd4
_cell_length_a 4.8975
_cell_length_b 7.9453
_cell_length_c 16.2955
_cell_angle_alpha 90.00
_cell_angle_beta 90.00
_cell_angle_gamma 90.00
_space_group_name_H-M_alt 'I m m m'
_space_group_IT_number 71
_space_group_name_Hall '-I 2 2'
loop_
_atom_site_label
_atom_site_fract_x
_atom_site_fract_y
_atom_site_fract_z
Ac1 0.0000 0.0000 0.0000
Ac2 0.0000 0.5000 0.1054
Sm1 0.0000 0.2856 0.3258
Pd1 0.0000 0.0000 0.2079
Pd2 0.0000 0.1869 0.5000
```

***

[2]
The following is a DFT calculation (PBE) of an optimized crystal structure of CsHW3.

Summary:
polymorph energy (0 for the lowest one): 2504 meV per atom

Structure (CIF):
```
data_CsHW3
_cell_length_a 4.9524
_cell_length_b 4.9524
_cell_length_c 4.9524
_cell_angle_alpha 90.00
_cell_angle_beta 90.00
_cell_angle_gamma 90.00
_space_group_name_H-M_alt 'P m -3 m'
_space_group_IT_number 221
_space_group_name_Hall '-P 4 2 3'
loop_
_atom_site_label
_atom_site_fract_x
_atom_site_fract_y
_atom_site_fract_z
Cs1 0.0000 0.0000 0.0000
H1 0.5000 0.5000 0.5000
W1 0.0000 0.0000 0.5000
```

***

[3]
The following is a DFT calculation (PBE) of an optimized crystal structure of Tb7Pm4Th.

Structure (CIF):
```
data_Tb7Pm4Th
_cell_length_a 3.5967
_cell_length_b 3.5967
_cell_length_c 35.0878
_cell_angle_alpha 90.00
_cell_angle_beta 90.00
_cell_angle_gamma 120.00
_space_group_name_H-M_alt 'P -3 m 1'
_space_group_IT_number 164
_space_group_name_Hall '-P 3 2"'
loop_
_atom_site_label
_atom_site_fract_x
_atom_site_fract_y
_atom_site_fract_z
Tb1 0.0000 0.0000 0.0000
Tb2 0.0000 0.0000 0.2504
Tb3 0.3333 0.6667 0.1678
Tb4 0.3333 0.6667 0.4197
Pm1 0.3333 0.6667 0.6664
Pm2 0.3333 0.6667 0.9162
Th1 0.0000 0.0000 0.5000
```

***

[4]
The following is a DFT calculation (PBE) of an optimized crystal structure of YScFe.

Summary:
polymorph energy (0 for the lowest one): 246 meV per atom

Structure (CIF):
```
data_YScFe
_cell_length_a 4.4764
_cell_length_b 4.4764
_cell_length_c 3.5337
_cell_angle_alpha 90.00
_cell_angle_beta 90.00
_cell_angle_gamma 120.00
_space_group_name_H-M_alt 'P 3 m 1'
_space_group_IT_number 156
_space_group_name_Hall 'P 3 -2"'
loop_
_atom_site_label
_atom_site_fract_x
_atom_site_fract_y
_atom_site_fract_z
Y1 0.0000 0.0000 0.0000
Sc1 0.3333 0.6667 0.5305
Fe1 0.6667 0.3333 0.3512
```

***

| no. | energy (eV/atom) |
| --- | --- |
| 1 | -5.257 |
| 2 | -3.951 |
| 3 | -4.890 |
| 4 | -6.857 |